A relaxed CaMn2W crystal, computed with PBE-GGA. Values from VASP.

* ΔH_f (0 K): 0.76 eV per atom
* DOS at the Fermi energy: 12.84 states/eV per cell
* energy above the most stable polymorph in this dataset: 374 meV/atom

```
&SYSTEM
  ibrav = 0, nat = 12, ntyp = 3
/
ATOMIC_SPECIES
Ca 40.08 Ca.upf
Mn 54.94 Mn.upf
W 183.84 W.upf
CELL_PARAMETERS angstrom
2.879 0.000 0.000
-1.439 2.493 0.000
0.000 0.000 27.992
ATOMIC_POSITIONS crystal
Ca 0.000 0.000 0.000
Ca 0.333 0.667 0.667
Ca 0.667 0.333 0.333
Mn 0.000 0.000 0.491
Mn 0.000 0.000 0.760
Mn 0.333 0.667 0.158
Mn 0.333 0.667 0.427
Mn 0.667 0.333 0.093
Mn 0.667 0.333 0.824
W 0.000 0.000 0.236
W 0.333 0.667 0.903
W 0.667 0.333 0.569
```

A relaxed PdBrF3 crystal, computed with PBE-GGA. Values from VASP.

* E_form (uncorrected): -0.061 eV/atom
* DOS at the Fermi energy: 12.92 states/eV per cell
* energy above the most stable polymorph in this dataset: 818 meV/atom

```
&SYSTEM
  ibrav = 0, nat = 5, ntyp = 3
/
ATOMIC_SPECIES
Pd 106.42 Pd.upf
Br 79.90 Br.upf
F 19.00 F.upf
CELL_PARAMETERS angstrom
4.469 0.000 0.000
0.000 4.469 0.000
0.000 0.000 4.469
ATOMIC_POSITIONS crystal
Pd 0.000 0.000 0.000
Br 0.500 0.500 0.500
F 0.000 0.500 0.500
F 0.500 0.000 0.500
F 0.500 0.500 0.000
```

A relaxed La10Tb4Tm crystal, computed with PBE-GGA. Values from VASP.

* ΔH_f (0 K): 0.64 eV per atom
* DOS at the Fermi energy: 26.77 states/eV per cell

```
&SYSTEM
  ibrav = 0, nat = 15, ntyp = 3
/
ATOMIC_SPECIES
La 138.91 La.upf
Tb 158.93 Tb.upf
Tm 168.93 Tm.upf
CELL_PARAMETERS angstrom
-6.237 6.237 3.975
6.237 -6.237 3.975
6.237 6.237 -3.975
ATOMIC_POSITIONS crystal
La 0.050 0.150 0.701
La 0.150 0.449 0.100
La 0.250 0.750 0.500
La 0.349 0.050 0.900
La 0.449 0.349 0.299
La 0.551 0.651 0.701
La 0.651 0.950 0.100
La 0.750 0.250 0.500
La 0.850 0.551 0.900
La 0.950 0.850 0.299
Tb 0.200 0.600 0.800
Tb 0.400 0.200 0.600
Tb 0.600 0.800 0.400
Tb 0.800 0.400 0.200
Tm 0.000 0.000 0.000
```

A relaxed TlCuSb2Os crystal, computed with PBE-GGA. Values from VASP.

* E_form (uncorrected): 0.788 eV/atom
* DOS at the Fermi energy: 4.60 states/eV per cell

```
&SYSTEM
  ibrav = 0, nat = 5, ntyp = 4
/
ATOMIC_SPECIES
Tl 204.38 Tl.upf
Cu 63.55 Cu.upf
Sb 121.76 Sb.upf
Os 190.23 Os.upf
CELL_PARAMETERS angstrom
5.136 0.000 0.000
0.000 5.136 0.000
0.000 0.000 5.303
ATOMIC_POSITIONS crystal
Tl 0.000 0.000 0.000
Cu 0.500 0.500 0.000
Sb 0.000 0.500 0.500
Sb 0.500 0.000 0.500
Os 0.000 0.000 0.500
```